# La3SbSe (PBEsol, relaxed)
data_La3SbSe
_cell_length_a 5.890
_cell_length_b 5.890
_cell_length_c 5.890
_cell_angle_alpha 90.00
_cell_angle_beta 90.00
_cell_angle_gamma 90.00
_symmetry_space_group_name_H-M 'P 1'
_symmetry_Int_Tables_number 1
_symmetry_space_group_name_Hall 'P 1'
loop_
_atom_site_label
_atom_site_fract_x
_atom_site_fract_y
_atom_site_fract_z
La1 0.000 0.000 0.500
La2 0.000 0.500 0.000
La3 0.500 0.000 0.000
Sb1 0.000 0.000 0.000
Se1 0.500 0.500 0.500
# Energy relative to the elements, uncorrected, eV per atom: -0.145
# Theoretical density, g/cm³: 5.02